# GGA-PBEsol Al2ReNi, optimized geometry
# Polymorph energy (0 for the lowest one) = 0.000 eV/atom
# Theoretical density = 9.54 g cm⁻³
# ΔH_f (0 K) = -0.360 eV/atom
# DOS(E_F) = 2.7 states/eV/cell
data_Al2ReNi
_chemical_formula_sum 'Al2 Re1 Ni1'
_cell_length_a 4.096
_cell_length_b 4.096
_cell_length_c 3.100
_cell_angle_alpha 90.00
_cell_angle_beta 90.00
_cell_angle_gamma 90.00
_symmetry_space_group_name_H-M 'P 4/m m m'
_symmetry_Int_Tables_number 123
_symmetry_space_group_name_Hall '-P 4 2'
loop_
_atom_site_label
_atom_site_fract_x
_atom_site_fract_y
_atom_site_fract_z
_atom_site_occupancy
Al1 0.000 0.500 0.000 1
Re1 0.000 0.000 0.500 1
Ni1 0.500 0.500 0.500 1


# GGA-PBEsol As2RuCl, optimized geometry
# Polymorph energy (0 for the lowest one) = 0.285 eV/atom
# Theoretical density = 4.77 g cm⁻³
# Formation energy from raw total energies = 0.85 eV/f.u.
# DOS(E_F) = 11.0 states/eV/cell
data_As2RuCl
_chemical_formula_sum 'As8 Ru4 Cl4'
_cell_length_a 5.952
_cell_length_b 5.952
_cell_length_c 11.248
_cell_angle_alpha 90.00
_cell_angle_beta 90.00
_cell_angle_gamma 90.00
_symmetry_space_group_name_H-M 'I -4 2 d'
_symmetry_Int_Tables_number 122
_symmetry_space_group_name_Hall 'I -4 2bw'
loop_
_atom_site_label
_atom_site_fract_x
_atom_site_fract_y
_atom_site_fract_z
_atom_site_occupancy
As1 0.168 0.250 0.125 1
Ru1 0.000 0.000 0.000 1
Cl1 0.000 0.000 0.500 1


# GGA-PBEsol KTaO3, optimized geometry
# Theoretical density = 7.01 g cm⁻³
# Formation energy from raw total energies = -13.49 eV/f.u.
# DOS(E_F) = 0.0 states/eV/cell
data_KTaO3
_chemical_formula_sum 'K1 Ta1 O3'
_cell_length_a 3.990
_cell_length_b 3.990
_cell_length_c 3.990
_cell_angle_alpha 90.00
_cell_angle_beta 90.00
_cell_angle_gamma 90.00
_symmetry_space_group_name_H-M 'P m -3 m'
_symmetry_Int_Tables_number 221
_symmetry_space_group_name_Hall '-P 4 2 3'
loop_
_atom_site_label
_atom_site_fract_x
_atom_site_fract_y
_atom_site_fract_z
_atom_site_occupancy
K1 0.000 0.000 0.000 1
Ta1 0.500 0.500 0.500 1
O1 0.000 0.500 0.500 1


# GGA-PBEsol TlHgSe, optimized geometry
# Theoretical density = 10.72 g cm⁻³
# Formation energy from raw total energies = 0.37 eV/f.u.
# DOS(E_F) = 1.3 states/eV/cell
data_TlHgSe
_chemical_formula_sum 'Tl1 Hg1 Se1'
_cell_length_a 3.2275
_cell_length_b 3.2275
_cell_length_c 8.3115
_cell_angle_alpha 90.00
_cell_angle_beta 90.00
_cell_angle_gamma 120.00
_symmetry_space_group_name_H-M 'P 3 m 1'
_symmetry_Int_Tables_number 156
loop_
_symmetry_equiv_pos_as_xyz
'x,y,z'
'-y,x-y,z'
'-x+y,-x,z'
'-y,-x,z'
'-x+y,y,z'
'x,x-y,z'
loop_
_atom_site_label
_atom_site_fract_x
_atom_site_fract_y
_atom_site_fract_z
_atom_site_occupancy
Tl1 0.0000 0.0000 0.0000 1
Hg1 0.3333 0.6667 0.6375 1
Se1 0.6667 0.3333 0.3032 1


# GGA-PBEsol Cd2InPb, optimized geometry
# Polymorph energy (0 for the lowest one) = 0.057 eV/atom
# Theoretical density = 9.09 g cm⁻³
# ΔH_f (0 K) = 0.095 eV/atom
# DOS(E_F) = 1.8 states/eV/cell
data_Cd2InPb
_chemical_formula_sum 'Cd2 In1 Pb1'
_cell_length_a 3.606
_cell_length_b 5.260
_cell_length_c 5.265
_cell_angle_alpha 90.00
_cell_angle_beta 90.00
_cell_angle_gamma 90.00
_symmetry_space_group_name_H-M 'P m m m'
_symmetry_Int_Tables_number 47
loop_
_symmetry_equiv_pos_as_xyz
'x,y,z'
'-x,-y,-z'
'-x,-y,z'
'x,y,-z'
'x,-y,-z'
'-x,y,z'
'-x,y,-z'
'x,-y,z'
loop_
_atom_site_label
_atom_site_fract_x
_atom_site_fract_y
_atom_site_fract_z
_atom_site_occupancy
Cd1 0.000 0.000 0.000 1
Cd2 0.500 0.500 0.000 1
In1 0.000 0.500 0.500 1
Pb1 0.500 0.000 0.500 1


# GGA-PBEsol SbMoOs2, optimized geometry
# Theoretical density = 15.67 g cm⁻³
# Formation energy from raw total energies = 1.90 eV/f.u.
# DOS(E_F) = 8.0 states/eV/cell
data_SbMoOs2
_chemical_formula_sum 'Sb3 Mo3 Os6'
_cell_length_a 2.8929
_cell_length_b 2.8929
_cell_length_c 26.2332
_cell_angle_alpha 90.00
_cell_angle_beta 90.00
_cell_angle_gamma 120.00
_symmetry_space_group_name_H-M 'R 3 m'
_symmetry_Int_Tables_number 160
_symmetry_space_group_name_Hall 'R 3 -2"'
loop_
_atom_site_label
_atom_site_fract_x
_atom_site_fract_y
_atom_site_fract_z
_atom_site_occupancy
Sb1 0.0000 0.0000 0.0000 1
Mo1 0.0000 0.0000 0.2452 1
Os1 0.0000 0.0000 0.4981 1
Os2 0.0000 0.0000 0.7505 1


# GGA-PBEsol MgCdHg, optimized geometry
# Polymorph energy (0 for the lowest one) = 0.023 eV/atom
# Theoretical density = 8.95 g cm⁻³
# ΔH_f (0 K) = -0.142 eV/atom
# DOS(E_F) = 2.0 states/eV/cell
data_MgCdHg
_chemical_formula_sum 'Mg2 Cd2 Hg2'
_cell_length_a 3.223
_cell_length_b 3.223
_cell_length_c 12.057
_cell_angle_alpha 90.00
_cell_angle_beta 90.00
_cell_angle_gamma 90.00
_symmetry_space_group_name_H-M 'I 4 m m'
_symmetry_Int_Tables_number 107
_symmetry_space_group_name_Hall 'I 4 -2'
loop_
_atom_site_label
_atom_site_fract_x
_atom_site_fract_y
_atom_site_fract_z
_atom_site_occupancy
Mg1 0.000 0.000 0.000 1
Cd1 0.000 0.000 0.332 1
Hg1 0.000 0.000 0.657 1


# GGA-PBEsol CaHf2CrIr, optimized geometry
# Theoretical density = 11.77 g cm⁻³
# ΔH_f (0 K) = 1.950 eV/atom
# DOS(E_F) = 5.2 states/eV/cell
data_CaHf2CrIr
_chemical_formula_sum 'Ca1 Hf2 Cr1 Ir1'
_cell_length_a 4.799
_cell_length_b 4.799
_cell_length_c 3.927
_cell_angle_alpha 90.00
_cell_angle_beta 90.00
_cell_angle_gamma 90.00
_symmetry_space_group_name_H-M 'P 4/m m m'
_symmetry_Int_Tables_number 123
_symmetry_space_group_name_Hall '-P 4 2'
loop_
_atom_site_label
_atom_site_fract_x
_atom_site_fract_y
_atom_site_fract_z
_atom_site_occupancy
Ca1 0.000 0.000 0.000 1
Hf1 0.000 0.500 0.000 1
Cr1 0.000 0.000 0.500 1
Ir1 0.500 0.500 0.500 1


# GGA-PBEsol ScCo2W, optimized geometry
# Polymorph energy (0 for the lowest one) = 0.000 eV/atom
# Theoretical density = 10.55 g cm⁻³
# ΔH_f (0 K) = 0.017 eV/atom
# DOS(E_F) = 9.8 states/eV/cell
data_ScCo2W
_chemical_formula_sum 'Sc2 Co4 W2'
_cell_length_a 4.264
_cell_length_b 4.264
_cell_length_c 6.001
_cell_angle_alpha 90.00
_cell_angle_beta 90.00
_cell_angle_gamma 90.00
_symmetry_space_group_name_H-M 'I 4/m m m'
_symmetry_Int_Tables_number 139
_symmetry_space_group_name_Hall '-I 4 2'
loop_
_atom_site_label
_atom_site_fract_x
_atom_site_fract_y
_atom_site_fract_z
_atom_site_occupancy
Sc1 0.000 0.000 0.000 1
Co1 0.000 0.500 0.250 1
W1 0.000 0.000 0.500 1


# GGA-PBEsol LiVOF3, optimized geometry
# Polymorph energy (0 for the lowest one) = 0.048 eV/atom
# Theoretical density = 3.23 g cm⁻³
# Formation energy from raw total energies = -16.67 eV/f.u.
# DOS(E_F) = 8.0 states/eV/cell
data_LiVOF3
_chemical_formula_sum 'Li4 V4 O4 F12'
_cell_length_a 7.768
_cell_length_b 4.977
_cell_length_c 7.199
_cell_angle_alpha 90.00
_cell_angle_beta 104.71
_cell_angle_gamma 90.00
_symmetry_space_group_name_H-M 'P 1 21/c 1'
_symmetry_Int_Tables_number 14
loop_
_symmetry_equiv_pos_as_xyz
'x,y,z'
'-x,-y,-z'
'-x,y+1/2,-z+1/2'
'x,-y+1/2,z+1/2'
loop_
_atom_site_label
_atom_site_fract_x
_atom_site_fract_y
_atom_site_fract_z
_atom_site_occupancy
Li1 0.130 0.206 0.473 1
V1 0.347 0.732 0.727 1
O1 0.465 0.028 0.693 1
F1 0.121 0.615 0.115 1
F2 0.199 0.077 0.248 1
F3 0.322 0.609 0.465 1


# GGA-PBEsol SrWSN2, optimized geometry
# Theoretical density = 5.80 g cm⁻³
# Formation energy from raw total energies = 11.66 eV/f.u.
# DOS(E_F) = 2.3 states/eV/cell
data_SrWSN2
_chemical_formula_sum 'Sr1 W1 S1 N2'
_cell_length_a 4.210
_cell_length_b 4.210
_cell_length_c 5.360
_cell_angle_alpha 90.00
_cell_angle_beta 90.00
_cell_angle_gamma 90.00
_symmetry_space_group_name_H-M 'P 4/m m m'
_symmetry_Int_Tables_number 123
_symmetry_space_group_name_Hall '-P 4 2'
loop_
_atom_site_label
_atom_site_fract_x
_atom_site_fract_y
_atom_site_fract_z
_atom_site_occupancy
Sr1 0.000 0.000 0.000 1
W1 0.500 0.500 0.500 1
S1 0.000 0.000 0.500 1
N1 0.000 0.500 0.000 1


# GGA-PBEsol Ca2TaInO6, optimized geometry
# Theoretical density = 6.31 g cm⁻³
# Formation energy from raw total energies = -27.39 eV/f.u.
# DOS(E_F) = 0.0 states/eV/cell
data_Ca2TaInO6
_chemical_formula_sum 'Ca4 Ta2 In2 O12'
_cell_length_a 5.501
_cell_length_b 5.714
_cell_length_c 9.613
_cell_angle_alpha 90.00
_cell_angle_beta 124.68
_cell_angle_gamma 90.00
_symmetry_space_group_name_H-M 'P 1 21/c 1'
_symmetry_Int_Tables_number 14
loop_
_symmetry_equiv_pos_as_xyz
'x,y,z'
'-x,-y,-z'
'-x,y+1/2,-z+1/2'
'x,-y+1/2,z+1/2'
loop_
_atom_site_label
_atom_site_fract_x
_atom_site_fract_y
_atom_site_fract_z
_atom_site_occupancy
Ca1 0.231 0.055 0.247 1
Ta1 0.500 0.000 0.000 1
In1 0.000 0.000 0.500 1
O1 0.155 0.190 0.948 1
O2 0.253 0.713 0.938 1
O3 0.370 0.042 0.761 1


# GGA-PBEsol Na2ScInSi4O12, optimized geometry
# Theoretical density = 3.65 g cm⁻³
# Formation energy from raw total energies = -53.44 eV/f.u.
# DOS(E_F) = 0.0 states/eV/cell
data_Na2ScInSi4O12
_chemical_formula_sum 'Na4 Sc2 In2 Si8 O24'
_cell_length_a 9.927
_cell_length_b 9.102
_cell_length_c 5.380
_cell_angle_alpha 90.00
_cell_angle_beta 107.25
_cell_angle_gamma 90.00
_symmetry_space_group_name_H-M 'C 1 2 1'
_symmetry_Int_Tables_number 5
loop_
_symmetry_equiv_pos_as_xyz
'x,y,z'
'-x,y,-z'
'x+1/2,y+1/2,z'
'-x+1/2,y+1/2,-z'
loop_
_atom_site_label
_atom_site_fract_x
_atom_site_fract_y
_atom_site_fract_z
_atom_site_occupancy
Na1 0.000 0.000 0.000 1
Na2 0.000 0.396 0.500 1
Sc1 0.000 0.592 0.000 1
In1 0.000 0.802 0.500 1
Si1 0.209 0.111 0.505 1
Si2 0.209 0.286 0.004 1
O1 0.118 0.617 0.394 1
O2 0.119 0.778 0.905 1
O3 0.139 0.446 0.941 1
O4 0.145 0.950 0.432 1
O5 0.149 0.189 0.730 1
O6 0.151 0.208 0.232 1


# GGA-PBEsol CaBi2N, optimized geometry
# Theoretical density = 7.74 g cm⁻³
# Formation energy from raw total energies = 0.82 eV/f.u.
# DOS(E_F) = 11.5 states/eV/cell
data_CaBi2N
_chemical_formula_sum 'Ca4 Bi8 N4'
_cell_length_a 7.448
_cell_length_b 7.448
_cell_length_c 7.303
_cell_angle_alpha 90.00
_cell_angle_beta 90.00
_cell_angle_gamma 90.00
_symmetry_space_group_name_H-M 'I -4 2 d'
_symmetry_Int_Tables_number 122
_symmetry_space_group_name_Hall 'I -4 2bw'
loop_
_atom_site_label
_atom_site_fract_x
_atom_site_fract_y
_atom_site_fract_z
_atom_site_occupancy
Ca1 0.000 0.000 0.000 1
Bi1 0.149 0.750 0.625 1
N1 0.000 0.000 0.500 1


# GGA-PBEsol SrIrC3, optimized geometry
# Theoretical density = 7.16 g cm⁻³
# ΔH_f (0 K) = 4.148 eV/atom
# DOS(E_F) = 3.9 states/eV/cell
data_SrIrC3
_chemical_formula_sum 'Sr1 Ir1 C3'
_cell_length_a 4.183
_cell_length_b 4.183
_cell_length_c 4.183
_cell_angle_alpha 90.00
_cell_angle_beta 90.00
_cell_angle_gamma 90.00
_symmetry_space_group_name_H-M 'P m -3 m'
_symmetry_Int_Tables_number 221
_symmetry_space_group_name_Hall '-P 4 2 3'
loop_
_atom_site_label
_atom_site_fract_x
_atom_site_fract_y
_atom_site_fract_z
_atom_site_occupancy
Sr1 0.000 0.000 0.000 1
Ir1 0.500 0.500 0.500 1
C1 0.000 0.000 0.500 1


# GGA-PBEsol Bi8AsAuCl9, optimized geometry
# Theoretical density = 7.11 g cm⁻³
# Formation energy from raw total energies = -11.64 eV/f.u.
data_Bi8AsAuCl9
_chemical_formula_sum 'Bi32 As4 Au4 Cl36'
_cell_length_a 10.214
_cell_length_b 14.763
_cell_length_c 14.058
_cell_angle_alpha 90.00
_cell_angle_beta 94.29
_cell_angle_gamma 90.00
_symmetry_space_group_name_H-M 'P 1 21/c 1'
_symmetry_Int_Tables_number 14
loop_
_symmetry_equiv_pos_as_xyz
'x,y,z'
'-x,-y,-z'
'-x,y+1/2,-z+1/2'
'x,-y+1/2,z+1/2'
loop_
_atom_site_label
_atom_site_fract_x
_atom_site_fract_y
_atom_site_fract_z
_atom_site_occupancy
Bi1 0.033 0.140 0.187 1
Bi2 0.049 0.642 0.683 1
Bi3 0.215 0.050 0.523 1
Bi4 0.301 0.652 0.970 1
Bi5 0.325 0.012 0.043 1
Bi6 0.379 0.574 0.178 1
Bi7 0.410 0.190 0.432 1
Bi8 0.449 0.138 0.654 1
As1 0.213 0.004 0.215 1
Au1 0.367 0.007 0.365 1
Cl1 0.010 0.629 0.129 1
Cl2 0.019 0.636 0.871 1
Cl3 0.147 0.006 0.826 1
Cl4 0.168 0.165 0.013 1
Cl5 0.170 0.649 0.510 1
Cl6 0.223 0.248 0.759 1
Cl7 0.256 0.742 0.752 1
Cl8 0.493 0.104 0.877 1
Cl9 0.496 0.131 0.121 1


# GGA-PBEsol KYP2O, optimized geometry
# Polymorph energy (0 for the lowest one) = 1.074 eV/atom
# Theoretical density = 3.24 g cm⁻³
# Formation energy from raw total energies = 3.13 eV/f.u.
# DOS(E_F) = 3.0 states/eV/cell
data_KYP2O
_chemical_formula_sum 'K1 Y1 P2 O1'
_cell_length_a 4.923
_cell_length_b 4.923
_cell_length_c 4.361
_cell_angle_alpha 90.00
_cell_angle_beta 90.00
_cell_angle_gamma 90.00
_symmetry_space_group_name_H-M 'P 4/m m m'
_symmetry_Int_Tables_number 123
_symmetry_space_group_name_Hall '-P 4 2'
loop_
_atom_site_label
_atom_site_fract_x
_atom_site_fract_y
_atom_site_fract_z
_atom_site_occupancy
K1 0.000 0.000 0.000 1
Y1 0.500 0.500 0.500 1
P1 0.000 0.500 0.000 1
O1 0.000 0.000 0.500 1


# GGA-PBEsol Na2HfB, optimized geometry
# Theoretical density = 4.23 g cm⁻³
# ΔH_f (0 K) = 1.028 eV/atom
# DOS(E_F) = 9.0 states/eV/cell
data_Na2HfB
_chemical_formula_sum 'Na8 Hf4 B4'
_cell_length_a 9.053
_cell_length_b 9.053
_cell_length_c 4.509
_cell_angle_alpha 90.00
_cell_angle_beta 90.00
_cell_angle_gamma 90.00
_symmetry_space_group_name_H-M 'I -4 2 d'
_symmetry_Int_Tables_number 122
_symmetry_space_group_name_Hall 'I -4 2bw'
loop_
_atom_site_label
_atom_site_fract_x
_atom_site_fract_y
_atom_site_fract_z
_atom_site_occupancy
Na1 0.143 0.750 0.125 1
Hf1 0.000 0.000 0.500 1
B1 0.000 0.000 0.000 1


# GGA-PBEsol As3P, optimized geometry
# Polymorph energy (0 for the lowest one) = 0.240 eV/atom
# Theoretical density = 5.72 g cm⁻³
# ΔH_f (0 K) = 0.284 eV/atom
# DOS(E_F) = 1.8 states/eV/cell
data_As3P
_chemical_formula_sum 'As3 P1'
_cell_length_a 3.5073
_cell_length_b 3.5073
_cell_length_c 6.9726
_cell_angle_alpha 90.00
_cell_angle_beta 90.00
_cell_angle_gamma 120.00
_symmetry_space_group_name_H-M 'P -6 m 2'
_symmetry_Int_Tables_number 187
_symmetry_space_group_name_Hall 'P -6 2'
loop_
_atom_site_label
_atom_site_fract_x
_atom_site_fract_y
_atom_site_fract_z
_atom_site_occupancy
As1 0.0000 0.0000 0.0000 1
As2 0.6667 0.3333 0.2609 1
P1 0.0000 0.0000 0.5000 1


# GGA-PBEsol NbNiTeI2, optimized geometry
# Theoretical density = 5.56 g cm⁻³
# Formation energy from raw total energies = 4.14 eV/f.u.
# DOS(E_F) = 11.3 states/eV/cell
data_NbNiTeI2
_chemical_formula_sum 'Nb1 Ni1 Te1 I2'
_cell_length_a 5.448
_cell_length_b 5.448
_cell_length_c 5.368
_cell_angle_alpha 90.00
_cell_angle_beta 90.00
_cell_angle_gamma 90.00
_symmetry_space_group_name_H-M 'P 4/m m m'
_symmetry_Int_Tables_number 123
_symmetry_space_group_name_Hall '-P 4 2'
loop_
_atom_site_label
_atom_site_fract_x
_atom_site_fract_y
_atom_site_fract_z
_atom_site_occupancy
Nb1 0.000 0.000 0.000 1
Ni1 0.500 0.500 0.500 1
Te1 0.000 0.000 0.500 1
I1 0.000 0.500 0.000 1


Number 1: spin magnetization 0.00 μB/cell. Number 2: spin magnetization 0.00 μB/cell. Number 3: spin magnetization 0.00 μB/cell. Number 4: spin magnetization 0.00 μB/cell. Number 5: spin magnetization 0.00 μB/cell. Number 6: spin magnetization 0.00 μB/cell. Number 7: spin magnetization 0.00 μB/cell. Number 8: spin magnetization 0.00 μB/cell. Number 9: spin magnetization 4.28 μB/cell. Number 10: spin magnetization 4.00 μB/cell. Number 11: spin magnetization 1.55 μB/cell. Number 12: spin magnetization 0.00 μB/cell. Number 13: spin magnetization 0.00 μB/cell. Number 14: spin magnetization 0.00 μB/cell. Number 15: spin magnetization 0.00 μB/cell. Number 16: spin magnetization 0.00 μB/cell. Number 17: spin magnetization 1.13 μB/cell. Number 18: spin magnetization 0.00 μB/cell. Number 19: spin magnetization 0.00 μB/cell. Number 20: spin magnetization 1.23 μB/cell.